# AcPm3Ag2

A relaxed structure of AcPm3Ag2 (GGA-PBE, the Alexandria database).

Values from the calculation:
Mass density   8.008 g cm⁻³
Symmetry   P4/mmm (123)
ΔH_f (0 K)   -156 meV per atom

Cell lengths 3.7575, 3.7575, 12.8916 Å; angles 90.00, 90.00, 90.00 degrees
With the nearest neighbours (Å) after each atom.
Element x y z (fractional)
Pm 0.0000 0.0000 0.2865  4 Ag 3.23
Pm 0.0000 0.0000 0.0000  8 Ag 3.24
Pm 0.0000 0.0000 0.7135  4 Ag 3.23
Ac 0.5000 0.5000 0.5000  4 Ac 3.76, 8 Pm 3.83
Ag 0.5000 0.5000 0.8562  8 Pm 3.23-3.24
Ag 0.5000 0.5000 0.1438  8 Pm 3.23-3.24

=====

# PtSeCl4

A relaxed structure of PtSeCl4 (GGA-PBE, the Alexandria database).

Values from the calculation:
Mass density   5.374 g cm⁻³
Symmetry   F-43m (216)
Formation energy from raw total energies   1.248 eV per atom

Cell lengths 5.6642, 5.6642, 5.6642 Å; angles 60.00, 60.00, 60.00 degrees
With the nearest neighbours (Å) after each atom.
Element x y z (fractional)
Se 0.0000 0.0000 0.0000  12 Cl 3.32, 4 Pt 3.47
Cl 0.8727 0.3758 0.3758  6 Cl 2.81-2.85
Cl 0.3758 0.3758 0.8727  6 Cl 2.81-2.85
Cl 0.3758 0.8727 0.3758  6 Cl 2.81-2.85
Cl 0.3758 0.3758 0.3758  6 Cl 2.81-2.85
Pt 0.7500 0.7500 0.7500  12 Cl 3.32, 4 Se 3.47

=====

# KDy3Y2Te6

A relaxed structure of KDy3Y2Te6 (GGA-PBE, the Alexandria database).

Values from the calculation:
Mass density   6.606 g cm⁻³
Symmetry   C2/m (12)
Formation energy from raw total energies   -1.301 eV per atom

Cell lengths 4.3791, 8.9865, 9.9169 Å; angles 103.53, 102.76, 90.00 degrees
With the nearest neighbours (Å) after each atom.
Element x y z (fractional)
Te 0.6652 0.5839 0.3305  3 Dy 3.06-3.10, 3 Y 3.08-3.10
Te 0.3253 0.9145 0.6507  3 Dy 3.09-3.20, 2 Y 3.22, 1 K 3.28
Te 0.0035 0.2660 0.0070  3 Dy 3.05-3.09, 1 Y 3.13, 2 K 3.23
Te 0.9965 0.7340 0.9930  3 Dy 3.05-3.09, 1 Y 3.13, 2 K 3.23
Te 0.6747 0.0855 0.3493  3 Dy 3.09-3.20, 2 Y 3.22, 1 K 3.28
Te 0.3348 0.4161 0.6695  3 Dy 3.06-3.10, 3 Y 3.08-3.10
Dy 0.8390 0.1798 0.6779  6 Te 3.06-3.20
Dy 0.1610 0.8202 0.3221  6 Te 3.06-3.20
Dy 0.5000 0.5000 0.0000  6 Te 3.05-3.10
Y 0.1700 0.3452 0.3399  6 Te 3.08-3.22
Y 0.8300 0.6548 0.6601  6 Te 3.08-3.22
K 0.5000 0.0000 0.0000  6 Te 3.23-3.28

=====

# Ba2NaBi4Au3

A relaxed structure of Ba2NaBi4Au3 (GGA-PBE, the Alexandria database).

Values from the calculation:
Mass density   9.310 g cm⁻³
Symmetry   P-4m2 (115)
ΔH_f (0 K)   -539 meV per atom

Cell lengths 4.9313, 4.9313, 12.6478 Å; angles 90.00, 90.00, 90.00 degrees
With the nearest neighbours (Å) after each atom.
Element x y z (fractional)
Au 0.0000 0.5000 0.1383  5 Bi 2.81-3.02
Au 0.5000 0.0000 0.8617  5 Bi 2.81-3.02
Au 0.0000 0.0000 0.5000  4 Bi 3.03
Na 0.5000 0.5000 0.5000  4 Bi 3.03
Bi 0.0000 0.5000 0.3605  3 Au 2.81-3.03, 2 Na 3.03
Bi 0.0000 0.0000 0.0000  4 Au 3.02
Bi 0.5000 0.5000 0.0000  4 Au 3.02
Bi 0.5000 0.0000 0.6395  3 Au 2.81-3.03, 2 Na 3.03
Ba 0.5000 0.0000 0.2492  6 Au 3.76-4.02, 8 Bi 3.76-4.00, 2 Na 4.02
Ba 0.0000 0.5000 0.7508  6 Au 3.76-4.02, 8 Bi 3.76-4.00, 2 Na 4.02

=====

# PmNd2Dy4Sc

A relaxed structure of PmNd2Dy4Sc (GGA-PBE, the Alexandria database).

Values from the calculation:
Mass density   7.166 g cm⁻³
Symmetry   C2/c (15)
ΔH_f (0 K)   410 meV per atom

Cell lengths 9.4416, 9.4416, 11.7619 Å; angles 128.52, 128.52, 88.11 degrees
With the nearest neighbours (Å) after each atom.
Element x y z (fractional)
Dy 0.7645 0.2356 0.9998  1 Sc 3.09, 2 Dy 3.39, 2 Pm 3.39-3.40, 2 Nd 3.40
Dy 0.7356 0.2645 0.4998  1 Sc 3.09, 2 Dy 3.39, 2 Pm 3.40, 2 Nd 3.40
Dy 0.2355 0.7644 0.0002  1 Sc 3.09, 2 Dy 3.39, 2 Pm 3.39-3.40, 2 Nd 3.40
Dy 0.7509 0.7508 0.5169  2 Sc 3.23, 1 Pm 3.29, 3 Nd 3.29-3.56, 2 Dy 3.39
Dy 0.7492 0.7491 0.9832  2 Sc 3.23, 1 Pm 3.29, 3 Nd 3.29-3.56, 2 Dy 3.39
Dy 0.2508 0.2509 0.0168  2 Sc 3.23, 1 Pm 3.29, 3 Nd 3.29-3.56, 2 Dy 3.39
Dy 0.2644 0.7355 0.5002  1 Sc 3.09, 2 Dy 3.39, 2 Pm 3.40, 2 Nd 3.40
Dy 0.2491 0.2492 0.4831  2 Sc 3.23, 1 Pm 3.29, 3 Nd 3.29-3.56, 2 Dy 3.39
Pm 0.0000 0.5000 0.0000  6 Dy 3.29-3.40, 2 Nd 3.39
Pm 0.0000 0.5000 0.5000  6 Dy 3.29-3.40, 2 Nd 3.39
Nd 0.5000 0.0000 0.0000  6 Dy 3.29-3.40, 2 Pm 3.39
Nd 0.5000 0.5000 0.0000  2 Nd 3.39, 6 Dy 3.47-3.56
Nd 0.0000 0.0000 0.5000  2 Nd 3.39, 6 Dy 3.47-3.56
Nd 0.5000 0.0000 0.5000  6 Dy 3.29-3.40, 2 Pm 3.39
Sc 0.5000 0.5000 0.5000  6 Dy 3.09-3.23, 2 Sc 3.39
Sc 0.0000 0.0000 0.0000  6 Dy 3.09-3.23, 2 Sc 3.39

=====

# Ac6Os2RhI3

A relaxed structure of Ac6Os2RhI3 (GGA-PBE, the Alexandria database).

Values from the calculation:
Mass density   8.607 g cm⁻³
Symmetry   C2/m (12)
Formation energy from raw total energies   -0.738 eV per atom

Cell lengths 7.5932, 7.5932, 8.9673 Å; angles 98.12, 98.12, 120.01 degrees
With the nearest neighbours (Å) after each atom.
Element x y z (fractional)
Ac 0.4001 0.0614 0.1840  2 Os 2.97, 1 Rh 3.02
Ac 0.0614 0.4001 0.1840  2 Os 2.97, 1 Rh 3.02
Ac 0.2775 0.2775 0.8160  2 Os 2.97, 1 Rh 3.02
Ac 0.9386 0.5999 0.8160  2 Os 2.97, 1 Rh 3.02
Ac 0.7225 0.7225 0.1840  2 Os 2.97, 1 Rh 3.02
Ac 0.5999 0.9386 0.8160  2 Os 2.97, 1 Rh 3.02
Os 0.3335 0.6666 0.0000  6 Ac 2.97
Os 0.6666 0.3335 0.0000  6 Ac 2.97
I 0.1675 0.8325 0.5000  6 Ac 3.68-3.73
I 0.8325 0.1675 0.5000  6 Ac 3.68-3.73
I 0.5000 0.5000 0.5000  6 Ac 3.69-3.73
Rh 0.0000 0.0000 0.0000  6 Ac 3.02

=====

# BaAc2Mg3

A relaxed structure of BaAc2Mg3 (GGA-PBE, the Alexandria database).

Values from the calculation:
Mass density   4.978 g cm⁻³
Symmetry   P4/mmm (123)
ΔH_f (0 K)   -70 meV per atom

Cell lengths 4.1692, 4.1692, 12.7479 Å; angles 90.00, 90.00, 90.00 degrees
With the nearest neighbours (Å) after each atom.
Element x y z (fractional)
Mg 0.0000 0.0000 0.3157  4 Ac 3.57, 4 Ba 3.77
Mg 0.0000 0.0000 0.0000  8 Ac 3.56
Mg 0.0000 0.0000 0.6843  4 Ac 3.57, 4 Ba 3.77
Ac 0.5000 0.5000 0.8430  8 Mg 3.56-3.57
Ac 0.5000 0.5000 0.1570  8 Mg 3.56-3.57
Ba 0.5000 0.5000 0.5000  8 Mg 3.77, 4 Ba 4.17

=====

# Sr3Dy2ErTe6

A relaxed structure of Sr3Dy2ErTe6 (GGA-PBE, the Alexandria database).

Values from the calculation:
Mass density   6.437 g cm⁻³
Symmetry   C2/m (12)
Formation energy from raw total energies   -1.479 eV per atom

Cell lengths 7.7570, 7.7570, 7.9563 Å; angles 99.37, 99.37, 119.93 degrees
With the nearest neighbours (Å) after each atom.
Element x y z (fractional)
Te 0.7456 0.7456 0.2304  1 Er 3.10, 2 Dy 3.12, 3 Sr 3.29-3.30
Te 0.5923 0.9237 0.7705  1 Er 3.10, 2 Dy 3.12, 3 Sr 3.29
Te 0.2544 0.2544 0.7696  1 Er 3.10, 2 Dy 3.12, 3 Sr 3.29-3.30
Te 0.0763 0.4077 0.2295  1 Er 3.10, 2 Dy 3.12, 3 Sr 3.29
Te 0.4077 0.0763 0.2295  1 Er 3.10, 2 Dy 3.12, 3 Sr 3.29
Te 0.9237 0.5923 0.7705  1 Er 3.10, 2 Dy 3.12, 3 Sr 3.29
Dy 0.6662 0.3338 0.0000  6 Te 3.12
Dy 0.3338 0.6662 0.0000  6 Te 3.12
Sr 0.1676 0.8324 0.5000  6 Te 3.29
Sr 0.8324 0.1676 0.5000  6 Te 3.29
Sr 0.5000 0.5000 0.5000  6 Te 3.29-3.30
Er 0.0000 0.0000 0.0000  6 Te 3.10

=====

# Nd6Y2Cd

A relaxed structure of Nd6Y2Cd (GGA-PBE, the Alexandria database).

Values from the calculation:
Mass density   6.465 g cm⁻³
Symmetry   P4_2/mnm (136)
Energy relative to the lowest polymorph listed for this composition   2.60 kJ per mole of atoms
ΔH_f (0 K)   -14 meV per atom

Cell lengths 5.0655, 10.8259, 10.8266 Å; angles 90.00, 90.00, 90.00 degrees
With the nearest neighbours (Å) after each atom.
Element x y z (fractional)
Nd 0.4999 0.1636 0.6642  4 Y 3.53-3.68, 2 Cd 3.57, 6 Nd 3.58-3.67
Nd 0.0000 0.6675 0.4972  8 Nd 3.58-3.67, 1 Cd 3.60, 3 Y 3.60-3.63
Nd 0.5000 0.4977 0.3326  8 Nd 3.58-3.67, 1 Cd 3.60, 3 Y 3.61-3.63
Nd 0.0000 0.9977 0.1674  8 Nd 3.58-3.67, 1 Cd 3.60, 3 Y 3.61-3.63
Nd 0.5000 0.5023 0.6674  8 Nd 3.58-3.67, 1 Cd 3.60, 3 Y 3.61-3.63
Nd 0.5000 0.1675 0.0028  8 Nd 3.58-3.67, 1 Cd 3.60, 3 Y 3.60-3.63
Nd 0.9999 0.3364 0.1642  4 Y 3.53-3.68, 2 Cd 3.57, 6 Nd 3.58-3.67
Nd 0.0000 0.0023 0.8326  8 Nd 3.58-3.67, 1 Cd 3.60, 3 Y 3.61-3.63
Nd 0.5000 0.8325 0.9972  8 Nd 3.58-3.67, 1 Cd 3.60, 3 Y 3.60-3.63
Nd 0.0000 0.3325 0.5028  8 Nd 3.58-3.67, 1 Cd 3.60, 3 Y 3.60-3.63
Nd 0.5001 0.8364 0.3358  4 Y 3.53-3.68, 2 Cd 3.57, 6 Nd 3.58-3.67
Nd 0.0001 0.6636 0.8358  4 Y 3.53-3.68, 2 Cd 3.57, 6 Nd 3.58-3.67
Y 0.0000 0.6621 0.1616  10 Nd 3.53-3.68, 2 Cd 3.54
Y 0.5000 0.1621 0.3384  10 Nd 3.53-3.68, 2 Cd 3.54
Y 0.5000 0.8379 0.6616  10 Nd 3.53-3.68, 2 Cd 3.54
Y 0.0000 0.3379 0.8384  10 Nd 3.53-3.68, 2 Cd 3.54
Cd 0.0000 0.0000 0.5000  4 Y 3.54, 8 Nd 3.57-3.60
Cd 0.5000 0.5000 0.0000  4 Y 3.54, 8 Nd 3.57-3.60

=====

# Ac6IrPd3

A relaxed structure of Ac6IrPd3 (GGA-PBE, the Alexandria database).

Values from the calculation:
Mass density   9.144 g cm⁻³
Symmetry   P2_1/m (11)
Energy relative to the lowest polymorph listed for this composition   4.80 kJ per mole of atoms
ΔH_f (0 K)   -593 meV per atom

Cell lengths 4.2837, 13.6289, 12.5881 Å; angles 112.21, 90.00, 90.00 degrees
With the nearest neighbours (Å) after each atom.
Element x y z (fractional)
Ir 0.7500 0.0728 0.6910  7 Ac 3.08-3.34
Ir 0.2500 0.9272 0.3090  7 Ac 3.08-3.34
Ac 0.2500 0.5658 0.4045  3 Pd 2.99-3.02
Ac 0.7500 0.7531 0.2645  3 Pd 3.08-3.19, 2 Ir 3.09
Ac 0.2500 0.2455 0.2519  3 Pd 3.01-3.03
Ac 0.2500 0.2469 0.7355  3 Pd 3.08-3.19, 2 Ir 3.09
Ac 0.7500 0.9437 0.1128  3 Pd 3.09-3.18, 2 Ir 3.34
Ac 0.2500 0.6031 0.9363  4 Pd 3.06-3.27
Ac 0.7500 0.0887 0.4429  3 Ir 3.08-3.21, 2 Pd 3.15
Ac 0.7500 0.3969 0.0637  4 Pd 3.06-3.27
Ac 0.7500 0.4342 0.5955  3 Pd 2.99-3.02
Ac 0.2500 0.0563 0.8872  3 Pd 3.09-3.18, 2 Ir 3.34
Ac 0.7500 0.7545 0.7481  3 Pd 3.01-3.03
Ac 0.2500 0.9113 0.5571  3 Ir 3.08-3.21, 2 Pd 3.15
Pd 0.7500 0.7288 0.4979  6 Ac 2.99-3.15
Pd 0.7500 0.4327 0.8351  6 Ac 3.02-3.19
Pd 0.7500 0.1605 0.0730  6 Ac 3.01-3.27
Pd 0.2500 0.2712 0.5021  6 Ac 2.99-3.15
Pd 0.2500 0.8395 0.9270  6 Ac 3.01-3.27
Pd 0.2500 0.5673 0.1649  6 Ac 3.02-3.19

=====

# Ba2SnGeTe5

A relaxed structure of Ba2SnGeTe5 (GGA-PBE, the Alexandria database).

Values from the calculation:
Mass density   5.488 g cm⁻³
Symmetry   Cmc2_1 (36)
Formation energy from raw total energies   -0.876 eV per atom

Cell lengths 4.6411, 10.7582, 13.7032 Å; angles 90.00, 90.00, 102.46 degrees
With the nearest neighbours (Å) after each atom.
Element x y z (fractional)
Ba 0.8819 0.7639 0.1822  7 Te 3.47-3.69
Ba 0.1181 0.2361 0.6822  7 Te 3.47-3.69
Ba 0.1212 0.2424 0.3141  6 Te 3.49-3.56
Ba 0.8788 0.7576 0.8141  6 Te 3.49-3.56
Te 0.3140 0.6281 0.3633  1 Ge 2.66
Te 0.6479 0.2959 0.4996  1 Sn 2.96
Te 0.9531 0.9062 0.5438  2 Ge 2.77
Te 0.7137 0.4274 0.1781  2 Sn 3.11
Te 0.4967 0.9935 0.2758  1 Ge 2.64
Te 0.5033 0.0065 0.7758  1 Ge 2.64
Te 0.3521 0.7041 0.9996  1 Sn 2.96
Te 0.2863 0.5726 0.6781  2 Sn 3.11
Te 0.0469 0.0938 0.0438  2 Ge 2.77
Te 0.6860 0.3719 0.8633  1 Ge 2.66
Sn 0.7875 0.5750 0.5275  5 Te 2.96-3.28
Sn 0.2125 0.4250 0.0275  5 Te 2.96-3.28
Ge 0.5697 0.1395 0.9396  4 Te 2.64-2.77
Ge 0.4303 0.8605 0.4396  4 Te 2.64-2.77